No. 1
Here is FeGeP2O after structural relaxation from Alexandria. Energies are from PBE with a Hubbard U.

V in Å³/atom: 16.9
Electronic total energy in eV per atom: -4.695

Lattice parameters (Å, degrees): 4.877 4.877 3.545 90.00 90.00 90.00
Space group P4/mmm (No. 123)
Unique sites:
Fe: 0.000 0.000 0.000 [1 per cell]
Ge: 0.500 0.500 0.500 [1 per cell]
P: 0.000 0.500 0.500 [2 per cell]
O: 0.500 0.500 0.000 [1 per cell]

No. 2
Here is FeGePO2 after structural relaxation from Alexandria. Energies are from PBE with a Hubbard U.

V in Å³/atom: 14.0
Electronic total energy in eV per atom: -5.367

Lattice parameters (Å, degrees): 3.675 3.675 5.165 90.00 90.00 90.00
Space group P4/mmm (No. 123)
Unique sites:
Fe: 0.000 0.000 0.000 [1 per cell]
Ge: 0.500 0.500 0.500 [1 per cell]
P: 0.500 0.500 0.000 [1 per cell]
O: 0.000 0.500 0.500 [2 per cell]

No. 3
Here is FeGePO2 after structural relaxation from Alexandria. Energies are from PBE with a Hubbard U.

V in Å³/atom: 14.1
Electronic total energy in eV per atom: -5.331

Lattice parameters (Å, degrees): 3.738 3.738 5.061 90.00 90.00 90.00
Space group P4/mmm (No. 123)
Unique sites:
Fe: 0.000 0.000 0.000 [1 per cell]
Ge: 0.500 0.500 0.500 [1 per cell]
P: 0.000 0.000 0.500 [1 per cell]
O: 0.000 0.500 0.000 [2 per cell]

No. 4
Here is Pa2FeGeO8 after structural relaxation from Alexandria. Energies are from PBE with a Hubbard U.

V in Å³/atom: 13.2
Electronic total energy in eV per atom: -8.412

Lattice parameters (Å, degrees): 6.633 6.779 7.045 90.00 90.00 90.00
Space group Cmmm (No. 65)
Unique sites:
Pa: 0.000 0.000 0.248 [4 per cell]
Fe: 0.000 0.500 0.500 [2 per cell]
Ge: 0.000 0.500 0.000 [2 per cell]
O: 0.000 0.312 0.211 [8 per cell]
O: 0.198 0.000 0.500 [4 per cell]
O: 0.207 0.000 0.000 [4 per cell]

No. 5
Here is PaFeGe2O8 after structural relaxation from Alexandria. Energies are from PBE with a Hubbard U.

V in Å³/atom: 12.5
Electronic total energy in eV per atom: -7.404

Lattice parameters (Å, degrees): 6.812 6.812 6.469 90.00 90.00 90.00
Space group I-4m2 (No. 119)
Unique sites:
Pa: 0.000 0.000 0.000 [2 per cell]
Fe: 0.000 0.500 0.250 [2 per cell]
Ge: 0.000 0.000 0.500 [2 per cell]
Ge: 0.000 0.500 0.750 [2 per cell]
O: 0.000 0.194 0.313 [8 per cell]
O: 0.000 0.314 0.937 [8 per cell]

No. 6
Here is PaFe2GeO8 after structural relaxation from Alexandria. Energies are from PBE with a Hubbard U.

V in Å³/atom: 12.2
Electronic total energy in eV per atom: -7.072

Lattice parameters (Å, degrees): 6.513 6.513 6.927 90.00 90.00 90.00
Space group I-4m2 (No. 119)
Unique sites:
Pa: 0.000 0.000 0.000 [2 per cell]
Fe: 0.000 0.000 0.500 [2 per cell]
Fe: 0.000 0.500 0.750 [2 per cell]
Ge: 0.000 0.500 0.250 [2 per cell]
O: 0.000 0.212 0.305 [8 per cell]
O: 0.000 0.317 0.939 [8 per cell]

> The highest V belongs to which entry?

FeGeP2O

> Which of these has the highest V?

FeGeP2O

> What is the electronic total energy in the first record?

-4.695 eV per atom

> Which value of electronic total energy does entry 4 give?

-8.412 eV per atom